First-principles (PBE) data for a geometry-optimized YCo2Au structure, as listed in the Alexandria database.

CIF file:
```
data_YCo2Au
_chemical_formula_sum 'Y4 Co8 Au4'
_space_group_name_H-M_alt 'F m -3 m'
_space_group_IT_number 225
_space_group_name_Hall '-F 4 2 3'
_cell_length_a 6.376
_cell_length_b 6.376
_cell_length_c 6.376
_cell_angle_alpha 90.00
_cell_angle_beta 90.00
_cell_angle_gamma 90.00
loop_
_atom_site_label
_atom_site_type_symbol
_atom_site_fract_x
_atom_site_fract_y
_atom_site_fract_z
_atom_site_occupancy
Y1 Y 0.000 0.000 0.000 1
Co1 Co 0.250 0.250 0.250 1
Au1 Au 0.000 0.000 0.500 1
```

Output
The calculation puts the distance to the lowest polymorph of the same formula at 238.9 meV/atom. Its formation energy is 0.031 eV/atom.